[1]
Computed, not measured: a crystal of Ta2AlTe relaxed with PBEsol at the SCAN level of DFT.

## Properties
SG: R3m
Spin magnetization in μB/atom: 0.000
Uncorrected formation energy in eV/atom: 0.135

Cell and atoms, written as extended XYZ:
```
12
Lattice="3.240 0.000 0.000 -1.620 2.806 0.000 0.000 0.000 26.252" Properties=species:S:1:pos:R:3 pbc="T T T"
Ta 0.000 0.000 0.000
Ta 0.000 0.000 6.698
Ta 0.000 1.871 17.501
Ta 0.000 1.871 24.199
Ta 1.620 0.935 8.751
Ta 1.620 0.935 15.448
Al 0.000 0.000 19.577
Al 0.000 1.871 10.827
Al 1.620 0.935 2.076
Te 0.000 0.000 13.368
Te 0.000 1.871 4.617
Te 1.620 0.935 22.118
```

***

[2]
Computed, not measured: a crystal of TaTiAl relaxed with PBEsol at the SCAN level of DFT.

## Properties
SG: F-43m
Formation energy in eV per atom: 0.78
Spin magnetization in μB/atom: 0.728

Cell and atoms, written as extended XYZ:
```
12
Lattice="6.256 0.000 0.000 0.000 6.256 0.000 0.000 0.000 6.256" Properties=species:S:1:pos:R:3 pbc="T T T"
Ta 0.000 0.000 0.000
Ta 0.000 3.128 3.128
Ta 3.128 0.000 3.128
Ta 3.128 3.128 0.000
Ti 1.564 1.564 4.692
Ti 1.564 4.692 1.564
Ti 4.692 1.564 1.564
Ti 4.692 4.692 4.692
Al 1.564 1.564 1.564
Al 1.564 4.692 4.692
Al 4.692 1.564 4.692
Al 4.692 4.692 1.564
```

***

[3]
Computed, not measured: a crystal of TaTiAl6 relaxed with PBEsol at the SCAN level of DFT.

## Properties
SG: P4/mmm
Formation energy in eV per atom: -0.38
Spin magnetization in μB/atom: 0.001

Cell and atoms, written as extended XYZ:
```
8
Lattice="3.818 0.000 0.000 0.000 3.818 0.000 0.000 0.000 8.542" Properties=species:S:1:pos:R:3 pbc="T T T"
Ta 0.000 0.000 0.000
Ti 1.909 1.909 4.271
Al 0.000 0.000 4.271
Al 0.000 1.909 2.147
Al 0.000 1.909 6.395
Al 1.909 0.000 2.147
Al 1.909 0.000 6.395
Al 1.909 1.909 0.000
```

***

[4]
Computed, not measured: a crystal of TaAlTl2 relaxed with PBEsol at the SCAN level of DFT.

## Properties
SG: F-43m
Formation energy in eV per atom: 0.90
Spin magnetization in μB/atom: 0.370

Cell and atoms, written as extended XYZ:
```
16
Lattice="7.001 0.000 0.000 0.000 7.001 0.000 0.000 0.000 7.001" Properties=species:S:1:pos:R:3 pbc="T T T"
Ta 0.000 0.000 0.000
Ta 0.000 3.501 3.501
Ta 3.501 0.000 3.501
Ta 3.501 3.501 0.000
Al 1.750 1.750 1.750
Al 1.750 5.251 5.251
Al 5.251 1.750 5.251
Al 5.251 5.251 1.750
Tl 0.000 0.000 3.501
Tl 0.000 3.501 0.000
Tl 1.750 1.750 5.251
Tl 1.750 5.251 1.750
Tl 3.501 0.000 0.000
Tl 3.501 3.501 3.501
Tl 5.251 1.750 1.750
Tl 5.251 5.251 5.251
```

***

[5]
Computed, not measured: a crystal of TaAlW2 relaxed with PBEsol at the SCAN level of DFT.

## Properties
SG: C2/m
Formation energy in eV per atom: -0.05
Spin magnetization in μB/atom: 0.000

Cell and atoms, written as extended XYZ:
```
8
Lattice="5.491 0.000 0.000 0.000 8.975 0.000 -0.918 0.000 2.577" Properties=species:S:1:pos:R:3 pbc="T T T"
Ta 0.000 0.000 0.000
Ta 2.745 4.487 0.000
Al 0.000 4.487 0.000
Al 2.745 0.000 0.000
W 0.914 2.244 1.288
W 0.914 6.731 1.288
W 3.659 2.244 1.288
W 3.659 6.731 1.288
```

***

[6]
Computed, not measured: a crystal of TaAlW relaxed with PBEsol at the SCAN level of DFT.

## Properties
SG: P3m1
Formation energy in eV per atom: 0.15
Spin magnetization in μB/atom: 0.000

Cell and atoms, written as extended XYZ:
```
3
Lattice="2.827 0.000 0.000 -1.413 2.448 0.000 0.000 0.000 7.095" Properties=species:S:1:pos:R:3 pbc="T T T"
Ta 0.000 0.000 0.000
Al 1.413 0.816 2.372
W 0.000 1.632 4.629
```